[1]
# ScTcB2Rh | the Alexandria database | GGA-PBE | optimized geometry
# Energy of formation from the pure elements (eV per atom): 2.02
# Calculated density (Mg/m³): 5.63
# Spin magnetization (μB/f.u.): 0.000
# Total DFT energy (no corrections) (eV per cell): -27.28
data_ScTcB2Rh
_chemical_formula_sum 'Sc1 Tc1 B2 Rh1'
_symmetry_space_group_name_H-M 'P 4/m m m'
_symmetry_Int_Tables_number 123
_symmetry_space_group_name_Hall '-P 4 2'
_cell_length_a 4.2059
_cell_length_b 4.2059
_cell_length_c 4.4570
_cell_angle_alpha 90.00
_cell_angle_beta 90.00
_cell_angle_gamma 90.00
loop_
_atom_site_label
_atom_site_fract_x
_atom_site_fract_y
_atom_site_fract_z
_atom_site_occupancy
Sc1 0.0000 0.0000 0.0000 1
Tc1 0.5000 0.5000 0.5000 1
B1 0.0000 0.5000 0.0000 1
Rh1 0.0000 0.0000 0.5000 1



[2]
# Mg5BiRh6 | the Alexandria database | GGA-PBE | optimized geometry
# Energy of formation from the pure elements (eV per atom): -0.49
# Calculated density (Mg/m³): 8.33
# Spin magnetization (μB/f.u.): 0.000
# Total DFT energy (no corrections) (eV per cell): -61.80
data_Mg5BiRh6
_chemical_formula_sum 'Mg5 Bi1 Rh6'
_symmetry_space_group_name_H-M 'P 1 2/m 1'
_symmetry_Int_Tables_number 10
_cell_length_a 4.4747
_cell_length_b 6.3014
_cell_length_c 7.0581
_cell_angle_alpha 90.00
_cell_angle_beta 108.29
_cell_angle_gamma 90.00
loop_
_symmetry_equiv_pos_as_xyz
'x,y,z'
'-x,-y,-z'
'-x,y,-z'
'x,-y,z'
loop_
_atom_site_label
_atom_site_fract_x
_atom_site_fract_y
_atom_site_fract_z
_atom_site_occupancy
Mg1 0.0000 0.0000 0.0000 1
Mg2 0.3271 0.5000 0.6550 1
Mg3 0.3329 0.0000 0.6667 1
Bi1 0.0000 0.5000 0.0000 1
Rh1 0.1671 0.2468 0.3335 1
Rh2 0.5000 0.2472 0.0000 1